No. 1
# LaTi3Cr

A relaxed structure of LaTi3Cr (PBE, Alexandria via LeMat-Bulk).

raw total energy = -29.4 eV for the cell shown
energy above the lowest structure with this stoichiometry = 1.4263 eV/atom
ρ = 5257 kg/m3
DOS at the Fermi energy = 8.09 states/eV/cell

Lattice parameters (Å, degrees): 4.728 4.728 4.728 90.00 90.00 90.00
Fractional positions:
La 0.000 0.000 0.000
Ti 0.000 0.000 0.500
Ti 0.000 0.500 0.000
Ti 0.500 0.000 0.000
Cr 0.500 0.500 0.500

***

No. 2
# MnCo2Tc

A relaxed structure of MnCo2Tc (PBE, Alexandria via LeMat-Bulk).

raw total energy = -33.5 eV for the cell shown
energy above the lowest structure with this stoichiometry = 0.0592 eV/atom
ρ = 9268 kg/m3
DOS at the Fermi energy = 2.80 states/eV/cell

Lattice parameters (Å, degrees): 2.746 2.746 6.434 90.00 90.00 90.00
Fractional positions:
Mn 0.000 0.000 0.000
Co 0.500 0.500 0.234
Co 0.500 0.500 0.766
Tc 0.000 0.000 0.500

***

No. 3
# Pr2Dy4Th

A relaxed structure of Pr2Dy4Th (PBE, Alexandria via LeMat-Bulk).

raw total energy = -35.2 eV for the cell shown
energy above the lowest structure with this stoichiometry = 0.0000 eV/atom
ρ = 8349 kg/m3
DOS at the Fermi energy = 12.03 states/eV/cell

Lattice parameters (Å, degrees): 3.623 3.623 20.498 95.19 95.19 59.89
Fractional positions:
Pr 0.000 0.000 0.000
Pr 0.089 0.089 0.288
Dy 0.280 0.280 0.854
Dy 0.376 0.376 0.145
Dy 0.808 0.808 0.433
Dy 0.900 0.900 0.716
Th 0.182 0.182 0.574

***

No. 4
# Al3HgBr

A relaxed structure of Al3HgBr (PBE, Alexandria via LeMat-Bulk).

raw total energy = -11.1 eV for the cell shown
energy above the lowest structure with this stoichiometry = 0.0000 eV/atom
formation energy (no corrections) = 0.414 eV per atom
ρ = 4217 kg/m3
DOS at the Fermi energy = 2.59 states/eV/cell

Lattice parameters (Å, degrees): 5.221 5.221 5.221 90.00 90.00 90.00
Fractional positions:
Al 0.000 0.000 0.500
Al 0.000 0.500 0.000
Al 0.500 0.000 0.000
Hg 0.000 0.000 0.000
Br 0.500 0.500 0.500

***

No. 5
# Ac3Al2

A relaxed structure of Ac3Al2 (PBE, Alexandria via LeMat-Bulk).

raw total energy = -20.8 eV for the cell shown
ρ = 7070 kg/m3
DOS at the Fermi energy = 6.37 states/eV/cell

Lattice parameters (Å, degrees): 6.409 6.409 6.409 132.14 112.10 87.29
Fractional positions:
Ac 0.000 0.000 0.000
Ac 0.300 0.800 0.500
Ac 0.700 0.200 0.500
Al 0.310 0.500 0.810
Al 0.690 0.500 0.190

***

No. 6
# K5LiCd4

A relaxed structure of K5LiCd4 (PBE, Alexandria via LeMat-Bulk).

raw total energy = -11.6 eV for the cell shown
ρ = 2445 kg/m3
DOS at the Fermi energy = 5.42 states/eV/cell

Lattice parameters (Å, degrees): 11.313 11.313 8.853 112.34 112.34 25.11
Fractional positions:
K 0.000 0.000 0.000
K 0.303 0.303 0.706
K 0.354 0.354 0.214
K 0.646 0.646 0.786
K 0.697 0.697 0.294
Li 0.000 0.000 0.500
Cd 0.119 0.119 0.449
Cd 0.464 0.464 0.630
Cd 0.536 0.536 0.370
Cd 0.881 0.881 0.551

***

No. 7
# TlW2Cl

A relaxed structure of TlW2Cl (PBE, Alexandria via LeMat-Bulk).

raw total energy = -23.9 eV for the cell shown
energy above the lowest structure with this stoichiometry = 1.2546 eV/atom
formation energy (no corrections) = 1.546 eV per atom
ρ = 13077 kg/m3
DOS at the Fermi energy = 3.73 states/eV/cell

Lattice parameters (Å, degrees): 5.650 5.650 5.650 138.91 138.91 59.52
Fractional positions:
Tl 0.000 0.000 0.000
W 0.250 0.750 0.500
W 0.750 0.250 0.500
Cl 0.500 0.500 0.000

***

No. 8
# GeIr2PbCl

A relaxed structure of GeIr2PbCl (PBE, Alexandria via LeMat-Bulk).

raw total energy = -23.7 eV for the cell shown
formation energy (no corrections) = 0.834 eV per atom
ρ = 9027 kg/m3
DOS at the Fermi energy = 5.33 states/eV/cell

Lattice parameters (Å, degrees): 4.653 4.653 5.944 90.00 90.00 90.00
Fractional positions:
Ge 0.000 0.000 0.000
Ir 0.000 0.500 0.000
Ir 0.500 0.000 0.000
Pb 0.000 0.000 0.500
Cl 0.500 0.500 0.500

***

No. 9
# Cs3NdAg2Br9

A relaxed structure of Cs3NdAg2Br9 (PBE, Alexandria via LeMat-Bulk).

raw total energy = -48.1 eV for the cell shown
formation energy (no corrections) = -1.332 eV per atom
ρ = 4456 kg/m3
DOS at the Fermi energy = 7.38 states/eV/cell

Lattice parameters (Å, degrees): 8.001 8.001 9.932 90.00 90.00 120.00
Fractional positions:
Cs 0.000 0.000 0.000
Cs 0.333 0.667 0.684
Cs 0.667 0.333 0.316
Nd 0.000 0.000 0.500
Ag 0.333 0.667 0.149
Ag 0.667 0.333 0.851
Br 0.000 0.500 0.000
Br 0.170 0.339 0.332
Br 0.170 0.830 0.332
Br 0.339 0.170 0.668
Br 0.500 0.000 0.000
Br 0.500 0.500 0.000
Br 0.661 0.830 0.332
Br 0.830 0.170 0.668
Br 0.830 0.661 0.668

***

No. 10
# TlMoBr

A relaxed structure of TlMoBr (PBE, Alexandria via LeMat-Bulk).

raw total energy = -12.0 eV for the cell shown
energy above the lowest structure with this stoichiometry = 0.5807 eV/atom
formation energy (no corrections) = 0.966 eV per atom
ρ = 7711 kg/m3
DOS at the Fermi energy = 3.24 states/eV/cell

Lattice parameters (Å, degrees): 4.874 4.874 4.874 60.00 60.00 60.00
Fractional positions:
Tl 0.000 0.000 0.000
Mo 0.750 0.750 0.750
Br 0.500 0.500 0.500

***

No. 11
# Ti7Ga2Pb2

A relaxed structure of Ti7Ga2Pb2 (PBE, Alexandria via LeMat-Bulk).

raw total energy = -66.1 eV for the cell shown
ρ = 6467 kg/m3
DOS at the Fermi energy = 14.12 states/eV/cell

Lattice parameters (Å, degrees): 6.291 6.291 5.866 90.00 90.00 100.52
Fractional positions:
Ti 0.000 0.000 0.000
Ti 0.000 0.500 0.260
Ti 0.000 0.500 0.740
Ti 0.500 0.000 0.260
Ti 0.500 0.000 0.740
Ti 0.500 0.500 0.248
Ti 0.500 0.500 0.752
Ga 0.272 0.728 0.000
Ga 0.728 0.272 0.000
Pb 0.186 0.186 0.500
Pb 0.814 0.814 0.500

***

No. 12
# ScPS

A relaxed structure of ScPS (PBE, Alexandria via LeMat-Bulk).

raw total energy = -40.0 eV for the cell shown
formation energy (no corrections) = -1.370 eV per atom
ρ = 3595 kg/m3
DOS at the Fermi energy = 2.21 states/eV/cell

Lattice parameters (Å, degrees): 3.515 3.515 8.074 90.00 90.00 90.00
Fractional positions:
Sc 0.250 0.250 0.223
Sc 0.750 0.750 0.777
P 0.250 0.750 0.500
P 0.750 0.250 0.500
S 0.250 0.250 0.875
S 0.750 0.750 0.125